Version a
Below is a geometry-optimized Rb2BaBr4 structure, with properties calculated at the GGA-PBE level.

Computed properties:
Magnetic moment (Bohr magnetons per cell): 0.00

a = 6.292 Å, b = 6.292 Å, c = 9.971 Å
α = 108.39°, β = 108.39°, γ = 90.00°
Positions (direct):
Br  0.823  0.823  0.645
Br  0.500  0.000  0.000
Br  0.000  0.500  0.000
Br  0.177  0.177  0.355
Rb  0.639  0.639  0.278
Rb  0.361  0.361  0.722
Ba  0.000  0.000  0.000

---

Version b
Below is a geometry-optimized Rb2BaBr4 structure, with properties calculated at the GGA-PBE level.

Computed properties:
Magnetic moment (Bohr magnetons per cell): 0.00

a = 8.824 Å, b = 8.824 Å, c = 8.824 Å
α = 109.87°, β = 109.87°, γ = 108.67°
Positions (direct):
Rb  0.875  0.739  0.364
Rb  0.489  0.125  0.864
Rb  0.375  0.511  0.636
Rb  0.261  0.625  0.136
Br  0.277  0.026  0.385
Br  0.776  0.527  0.885
Br  0.473  0.358  0.249
Br  0.641  0.892  0.615
Br  0.108  0.723  0.749
Br  0.642  0.891  0.115
Br  0.974  0.359  0.251
Br  0.109  0.224  0.751
Ba  0.750  0.250  0.500
Ba  0.000  0.000  0.000

---

Version c
Below is a geometry-optimized Rb2BaBr4 structure, with properties calculated at the GGA-PBE level.

Computed properties:
Magnetic moment (Bohr magnetons per cell): 0.00

a = 4.663 Å, b = 9.770 Å, c = 9.013 Å
α = 127.26°, β = 104.99°, γ = 90.00°
Positions (direct):
Ba  0.000  0.000  0.000
Rb  0.360  0.409  0.720
Rb  0.640  0.591  0.280
Br  0.337  0.755  0.673
Br  0.048  0.735  0.095
Br  0.952  0.265  0.905
Br  0.663  0.245  0.327

---

So which one is most stable? That would be version b, about 22 meV per atom below the next structure.

---

Version a
Below is a geometry-optimized Rb2BaSrBr6 structure, with properties calculated at the GGA-PBE level.

Computed properties:
Magnetic moment (Bohr magnetons per cell): 0.00

a = 8.712 Å, b = 8.712 Å, c = 8.712 Å
α = 60.00°, β = 60.00°, γ = 90.00°
Positions (direct):
Br  0.256  0.256  0.488
Br  0.256  0.256  0.000
Br  0.744  0.744  0.512
Br  0.256  0.744  0.000
Br  0.744  0.256  0.000
Br  0.744  0.744  0.000
Sr  0.500  0.500  0.000
Rb  0.750  0.250  0.500
Rb  0.250  0.750  0.500
Ba  0.000  0.000  0.000

---

Version b
Below is a geometry-optimized Rb2BaSrBr6 structure, with properties calculated at the GGA-PBE level.

Computed properties:
Magnetic moment (Bohr magnetons per cell): 0.00

a = 8.270 Å, b = 8.690 Å, c = 11.742 Å
α = 90.00°, β = 90.36°, γ = 90.00°
Positions (direct):
Rb  0.473  0.428  0.250
Rb  0.027  0.928  0.250
Rb  0.973  0.072  0.750
Rb  0.527  0.572  0.750
Br  0.873  0.549  0.242
Br  0.810  0.791  0.933
Br  0.373  0.951  0.742
Br  0.705  0.304  0.936
Br  0.310  0.709  0.433
Br  0.190  0.209  0.067
Br  0.295  0.696  0.064
Br  0.690  0.291  0.567
Br  0.627  0.049  0.258
Br  0.205  0.196  0.436
Br  0.127  0.451  0.758
Br  0.795  0.804  0.564
Sr  0.000  0.500  0.000
Sr  0.500  0.000  0.500
Ba  0.500  0.000  0.000
Ba  0.000  0.500  0.500

---

So which one is most stable? That would be version b, about 70 meV per atom below the next structure.